Nd5Sm3Tm3 | GGA-PBE | optimized geometry

Cell and atoms, written as POSCAR:
```
Nd5Sm3Tm3
1.0
9.785 0.000 0.000
-4.893 8.474 0.000
0.000 0.000 5.531
Nd Sm Tm
5 3 3
direct
0.000 0.732 0.000
0.268 0.268 0.000
0.333 0.667 0.000
0.667 0.333 0.000
0.732 0.000 0.000
0.000 0.565 0.500
0.435 0.435 0.500
0.565 0.000 0.500
0.000 0.368 0.000
0.368 0.000 0.000
0.632 0.632 0.000
```

Calculated values
E_tot ... -3.916 eV per atom
Space group ... P-62m
Energy of formation ... 805 kJ/mol of formula units
Polymorph energy (0 for the lowest one) ... 10.21 kcal/mol of atoms
Density of states at the Fermi level ... 18.96 states/eV/cell